1.
Computed, not measured: a relaxed Sr5Pr2Pb3N2 crystal at the PBE-GGA level of DFT.

Calculated values
Calculated volume = 29.40 Å³ per atom
VASP energy = -53.8 eV for the cell shown
M_tot = 0.04 μB/f.u.
Offset from the most stable computed form = 0 meV/atom
Space-group type = Cmmm (65)

Cell lengths 13.449, 13.449, 5.139 Å; angles 90.00, 90.00, 157.69 degrees
Atoms (fractional coordinates):
Sr 0.000 0.000 0.000
Sr 0.097 0.903 0.500
Sr 0.401 0.599 0.000
Sr 0.599 0.401 0.000
Sr 0.903 0.097 0.500
Pr 0.196 0.804 0.000
Pr 0.804 0.196 0.000
Pb 0.302 0.698 0.500
Pb 0.500 0.500 0.500
Pb 0.698 0.302 0.500
N 0.110 0.890 0.000
N 0.890 0.110 0.000


2.
Computed, not measured: a relaxed YLu6Ni2Te2 crystal at the PBE-GGA level of DFT.

Calculated values
Calculated volume = 24.78 Å³ per atom
VASP energy = -58.6 eV for the cell shown
M_tot = 0.00 μB/f.u.
Space-group type = Imm2 (44)

Cell lengths 9.162, 9.162, 9.162 Å; angles 156.06, 67.14, 118.33 degrees
Atoms (fractional coordinates):
Y 0.000 0.000 0.000
Lu 0.285 0.418 0.867
Lu 0.307 0.621 0.686
Lu 0.552 0.418 0.133
Lu 0.622 0.270 0.352
Lu 0.918 0.270 0.648
Lu 0.935 0.621 0.314
Ni 0.167 0.928 0.239
Ni 0.690 0.928 0.761
Te 0.266 0.766 0.500
Te 0.663 0.663 0.000


3.
Computed, not measured: a relaxed NaCuTeMoS2 crystal at the PBE-GGA level of DFT.

Calculated values
Calculated volume = 20.49 Å³ per atom
VASP energy = -59.9 eV for the cell shown
M_tot = 0.85 μB/f.u.
Space-group type = Cmcm (63)

Cell lengths 7.483, 7.483, 9.790 Å; angles 90.00, 90.00, 153.35 degrees
Atoms (fractional coordinates):
Na 0.212 0.788 0.750
Na 0.788 0.212 0.250
Cu 0.465 0.535 0.250
Cu 0.535 0.465 0.750
Te 0.101 0.899 0.250
Te 0.899 0.101 0.750
Mo 0.000 0.000 0.000
Mo 0.000 0.000 0.500
S 0.384 0.616 0.057
S 0.384 0.616 0.443
S 0.616 0.384 0.557
S 0.616 0.384 0.943


4.
Computed, not measured: a relaxed KSmGa crystal at the PBE-GGA level of DFT.

Calculated values
Calculated volume = 33.53 Å³ per atom
VASP energy = -7.3 eV for the cell shown
M_tot = 0.01 μB/f.u.
Offset from the most stable computed form = 0 meV/atom
Space-group type = F-43m (216)

Cell lengths 5.220, 5.220, 5.220 Å; angles 60.00, 60.00, 60.00 degrees
Atoms (fractional coordinates):
K 0.000 0.000 0.000
Sm 0.750 0.750 0.750
Ga 0.500 0.500 0.500


What did the third record say?
Computed, not measured: a relaxed NaCuTeMoS2 crystal at the PBE-GGA level of DFT.

Calculated values
Calculated volume = 20.49 Å³ per atom
VASP energy = -59.9 eV for the cell shown
M_tot = 0.85 μB/f.u.
Space-group type = Cmcm (63)

Cell lengths 7.483, 7.483, 9.790 Å; angles 90.00, 90.00, 153.35 degrees
Atoms (fractional coordinates):
Na 0.212 0.788 0.750
Na 0.788 0.212 0.250
Cu 0.465 0.535 0.250
Cu 0.535 0.465 0.750
Te 0.101 0.899 0.250
Te 0.899 0.101 0.750
Mo 0.000 0.000 0.000
Mo 0.000 0.000 0.500
S 0.384 0.616 0.057
S 0.384 0.616 0.443
S 0.616 0.384 0.557
S 0.616 0.384 0.943


What did the first record say?
Computed, not measured: a relaxed Sr5Pr2Pb3N2 crystal at the PBE-GGA level of DFT.

Calculated values
Calculated volume = 29.40 Å³ per atom
VASP energy = -53.8 eV for the cell shown
M_tot = 0.04 μB/f.u.
Offset from the most stable computed form = 0 meV/atom
Space-group type = Cmmm (65)

Cell lengths 13.449, 13.449, 5.139 Å; angles 90.00, 90.00, 157.69 degrees
Atoms (fractional coordinates):
Sr 0.000 0.000 0.000
Sr 0.097 0.903 0.500
Sr 0.401 0.599 0.000
Sr 0.599 0.401 0.000
Sr 0.903 0.097 0.500
Pr 0.196 0.804 0.000
Pr 0.804 0.196 0.000
Pb 0.302 0.698 0.500
Pb 0.500 0.500 0.500
Pb 0.698 0.302 0.500
N 0.110 0.890 0.000
N 0.890 0.110 0.000